Here is a relaxed HfMn2Tl3S6 crystal from Alexandria via LeMat-Bulk. Energies are from GGA-PBE.

Geometry as POSCAR:
```
HfMn2Tl3S6
1.0
-3.317 -0.084 5.487
1.963 -5.512 -2.624
6.882 2.302 2.940
Tl Mn S Hf
3 2 6 1
direct
0.165 0.835 0.500
0.835 0.165 0.500
0.500 0.500 0.500
0.332 0.668 0.000
0.668 0.332 0.000
0.603 0.941 0.817
0.059 0.397 0.183
0.397 0.059 0.183
0.278 0.278 0.819
0.722 0.722 0.181
0.941 0.603 0.817
0.000 0.000 0.000
```

## Properties
D(E_F)	5.1	states/eV/cell
magnetic moment	8.999	μB per formula unit
formation energy from raw total energies	-724	meV per atom

Here is a relaxed PaTlCu2Se4 crystal from Alexandria via LeMat-Bulk. Energies are from GGA-PBE.

Geometry as POSCAR:
```
PaTlCu2Se4
1.0
-3.943 3.754 3.895
-2.489 -2.405 5.552
2.500 3.425 4.982
Cu Se Tl Pa
2 4 1 1
direct
0.153 0.347 0.347
0.847 0.653 0.653
0.069 0.888 0.488
0.931 0.512 0.112
0.554 0.488 0.888
0.446 0.112 0.512
0.000 0.000 0.000
0.500 0.500 0.500
```

## Properties
magnetic moment	0.000	μB per formula unit
formation energy from raw total energies	-529	meV per atom

Here is a relaxed TcNi2Au crystal from Alexandria via LeMat-Bulk. Energies are from GGA-PBE.

Geometry as POSCAR:
```
TcNi2Au
1.0
8.794 0.001 0.001
8.375 2.684 0.001
8.375 1.310 2.343
Ni Tc Au
2 1 1
direct
0.252 0.252 0.252
0.993 0.993 0.993
0.508 0.508 0.508
0.746 0.746 0.746
```

## Properties
D(E_F)	5.7	states/eV/cell
magnetic moment	0.001	μB per formula unit
relative energy among the computed polymorphs	205.9	meV per atom
ΔE_f	250	meV/atom

Here is a relaxed MgPdO2 crystal from Alexandria via LeMat-Bulk. Energies are from GGA-PBE.

Geometry as POSCAR:
```
MgPdO2
1.0
4.831 0.000 0.000
0.000 4.831 0.000
2.416 2.416 4.624
Mg O Pd
2 4 2
direct
0.250 0.750 0.500
0.500 0.500 0.000
0.375 0.408 0.750
0.875 0.842 0.750
0.158 0.625 0.250
0.592 0.125 0.250
0.000 0.000 0.000
0.750 0.250 0.500
```

## Properties
D(E_F)	6.3	states/eV/cell
magnetic moment	1.283	μB per formula unit
formation energy from raw total energies	-1104	meV per atom